# 1
This record from Alexandria via LeMat-Bulk describes a relaxed structure of Cs2Hg7Pb2. The functional is GGA-PBE. Values from VASP.

Values from the calculation:
* total magnetization: 0.000 μB/cell
* N(E_F): 0.477 states/eV per atom
* DFT formation energy: -123 meV/atom

Structure (Quantum ESPRESSO input):
```
&SYSTEM
  ibrav = 0, nat = 11, ntyp = 3
/
ATOMIC_SPECIES
Cs 132.91 Cs.upf
Hg 200.59 Hg.upf
Pb 207.20 Pb.upf
ATOMIC_POSITIONS angstrom
Cs -4.887 -3.553 3.989
Cs 3.334 -3.835 5.157
Hg -3.239 -1.336 6.923
Hg -2.641 -5.903 1.609
Hg 1.686 -6.051 2.223
Hg 1.088 -1.484 7.538
Hg -0.800 -6.244 4.124
Hg 0.000 0.000 0.000
Hg -0.753 -1.143 5.023
Pb -0.527 -3.338 2.905
Pb -1.026 -4.049 6.241
CELL_PARAMETERS angstrom
-0.851 1.454 6.340
-7.220 -4.185 0.428
6.518 -4.656 2.379
```

# 2
This record from Alexandria via LeMat-Bulk describes a relaxed structure of SrPtS. The functional is GGA-PBE. Values from VASP.

Values from the calculation:
* total magnetization: 0.000 μB/cell
* N(E_F): 0.591 states/eV per atom
* formation energy without anion corrections: -0.6538 eV per atom

Structure (Quantum ESPRESSO input):
```
&SYSTEM
  ibrav = 0, nat = 6, ntyp = 3
/
ATOMIC_SPECIES
Sr 87.62 Sr.upf
S 32.06 S.upf
Pt 195.08 Pt.upf
ATOMIC_POSITIONS angstrom
Sr 1.675 0.145 5.595
Sr -1.526 -1.367 1.557
S -0.054 0.952 3.092
S 0.203 -2.175 4.059
Pt 1.728 -0.787 2.569
Pt -1.579 -0.435 4.583
CELL_PARAMETERS angstrom
-3.016 -3.388 0.991
3.529 -2.865 0.944
-0.108 1.904 6.184
```

# 3
This record from Alexandria via LeMat-Bulk describes a relaxed structure of NaPr2Cu. The functional is GGA-PBE. Values from VASP.

Values from the calculation:
* total magnetization: 0.000 μB/cell
* N(E_F): 0.994 states/eV per atom
* DFT formation energy: 181 meV/atom

Structure (Quantum ESPRESSO input):
```
&SYSTEM
  ibrav = 0, nat = 4, ntyp = 3
/
ATOMIC_SPECIES
Pr 140.91 Pr.upf
Na 22.99 Na.upf
Cu 63.55 Cu.upf
ATOMIC_POSITIONS angstrom
Pr 1.813 1.047 7.800
Pr 5.439 3.140 3.635
Na 0.000 0.000 0.000
Cu 3.626 2.094 5.718
CELL_PARAMETERS angstrom
3.626 0.000 0.000
1.813 3.140 0.000
1.813 1.047 11.435
```

# 4
This record from Alexandria via LeMat-Bulk describes a relaxed structure of Sc2InSb. The functional is GGA-PBE. Values from VASP.

Values from the calculation:
* total magnetization: 0.000 μB/cell
* N(E_F): 0.765 states/eV per atom
* formation energy without anion corrections: -0.1181 eV per atom

Structure (Quantum ESPRESSO input):
```
&SYSTEM
  ibrav = 0, nat = 4, ntyp = 3
/
ATOMIC_SPECIES
Sc 44.96 Sc.upf
Sb 121.76 Sb.upf
In 114.82 In.upf
ATOMIC_POSITIONS angstrom
Sc 18.227 15.835 9.443
Sc 2.111 1.834 1.094
Sb 10.169 8.835 5.268
In 0.000 0.000 0.000
CELL_PARAMETERS angstrom
6.605 4.925 5.468
8.205 5.127 2.039
5.528 7.618 3.030
```